Entry 1:
The following is a DFT calculation (GGA-PBE) of GaPbBr3 after structural relaxation.

The structure belongs to space group Pm-3m (No. 221); the cell edges are 5.9212, 5.9212 and 5.9212 Å and the angles 90.00°, 90.00° and 90.00°. The distinct sites, in fractional coordinates, are Ga at (0.0000, 0.0000, 0.0000), Pb at (0.5000, 0.5000, 0.5000) and Br at (0.0000, 0.5000, 0.5000).

The energy relative to the elements, uncorrected is -577.6 meV/atom.

Entry 2:
The following is a DFT calculation (GGA-PBE) of LaDyTh after structural relaxation.

The structure belongs to space group R3m (No. 160, hexagonal axes); the cell edges are 3.6028, 3.6028 and 26.8222 Å and the angles 90.00°, 90.00° and 120.00°. The distinct sites, in fractional coordinates, are La at (0.0000, 0.0000, 0.0000), Dy at (0.0000, 0.0000, 0.7809) and Th at (0.0000, 0.0000, 0.5541).

The calculation puts the formation enthalpy at 0 K at 0.06 eV/atom. The value obtained for the relative energy among the computed polymorphs is 47.6 meV/atom.

Entry 3:
The following is a DFT calculation (GGA-PBE) of Ba2Na2Au15 after structural relaxation.

The structure belongs to space group R-3m (No. 166, hexagonal axes); the cell edges are 9.8467, 9.8467 and 14.5323 Å and the angles 90.00°, 90.00° and 120.00°. The distinct sites, in fractional coordinates, are Ba at (0.0000, 0.0000, 0.1562), Na at (0.0000, 0.0000, 0.4048), Au at (0.0000, 0.3004, 0.5000), Au at (0.0000, 0.5000, 0.0000) and Au at (0.0047, 0.5024, 0.6531).

The calculation puts the formation enthalpy at 0 K at -0.37 eV/atom.

no.,electronic total energy (eV/atom)
1,-2.928
2,-5.593
3,-3.301